SrReB14 | GGA-PBE | relaxed

Crystal system: orthorhombic

a b c (Å): 5.881 7.470 7.470
angles (deg): 68.45 66.82 66.82
Sites, in units of the cell vectors:
B  0.166  0.796  0.873
B  0.834  0.204  0.127
B  0.086  0.079  0.749
B  0.378  0.991  0.254
B  0.667  0.628  0.530
B  0.914  0.921  0.251
B  0.603  0.398  0.719
B  0.334  0.627  0.704
B  0.122  0.246  0.509
B  0.333  0.372  0.470
B  0.103  0.219  0.898
B  0.622  0.009  0.746
B  0.878  0.754  0.491
B  0.666  0.373  0.296
B  0.720  0.602  0.281
B  0.175  0.628  0.530
B  0.825  0.372  0.470
B  0.833  0.970  0.872
B  0.167  0.030  0.128
B  0.780  0.219  0.898
B  0.220  0.781  0.102
B  0.675  0.030  0.128
B  0.414  0.751  0.421
B  0.586  0.249  0.579
B  0.280  0.398  0.719
B  0.325  0.970  0.872
B  0.897  0.781  0.102
B  0.397  0.602  0.281
Sr  0.250  0.385  0.115
Sr  0.750  0.615  0.885
Re  0.500  0.000  0.500
Re  0.000  0.000  0.500

***

Ga12Hg5S3 | GGA-PBE | relaxed

Crystal system: cubic
Formation energy (no corrections) (meV/atom): 76.2

a b c (Å): 14.070 14.070 14.070
angles (deg): 109.47 109.47 109.47
Sites, in units of the cell vectors:
Hg  0.750  0.625  0.375
Hg  0.000  0.500  0.000
Hg  0.875  0.250  0.625
Hg  0.750  0.125  0.875
Hg  0.500  0.500  0.500
Hg  0.875  0.625  0.750
Hg  0.125  0.375  0.250
Hg  0.500  0.000  0.500
Hg  0.375  0.125  0.750
Hg  0.500  0.500  0.000
Hg  0.000  0.000  0.000
Hg  0.625  0.875  0.250
Hg  0.375  0.250  0.125
Hg  0.250  0.875  0.125
Hg  0.625  0.750  0.875
Hg  0.000  0.000  0.500
Hg  0.000  0.500  0.500
Hg  0.125  0.750  0.375
Hg  0.500  0.000  0.000
Hg  0.250  0.375  0.625
Ga  0.050  0.895  0.325
Ga  0.450  0.275  0.345
Ga  0.155  0.050  0.725
Ga  0.550  0.825  0.395
Ga  0.275  0.825  0.930
Ga  0.950  0.845  0.775
Ga  0.930  0.605  0.155
Ga  0.845  0.950  0.275
Ga  0.550  0.725  0.655
Ga  0.225  0.570  0.675
Ga  0.395  0.070  0.345
Ga  0.175  0.725  0.570
Ga  0.070  0.675  0.725
Ga  0.775  0.345  0.950
Ga  0.050  0.155  0.225
Ga  0.605  0.930  0.655
Ga  0.655  0.225  0.550
Ga  0.825  0.550  0.895
Ga  0.105  0.950  0.175
Ga  0.225  0.655  0.050
Ga  0.345  0.775  0.450
Ga  0.930  0.325  0.275
Ga  0.895  0.845  0.570
Ga  0.570  0.225  0.175
Ga  0.070  0.395  0.845
Ga  0.655  0.430  0.605
Ga  0.430  0.775  0.825
Ga  0.570  0.345  0.895
Ga  0.775  0.430  0.325
Ga  0.325  0.930  0.775
Ga  0.825  0.275  0.430
Ga  0.675  0.070  0.225
Ga  0.105  0.155  0.430
Ga  0.430  0.655  0.105
Ga  0.845  0.895  0.070
Ga  0.450  0.175  0.605
Ga  0.725  0.175  0.070
Ga  0.395  0.325  0.550
Ga  0.895  0.050  0.825
Ga  0.345  0.570  0.395
Ga  0.155  0.105  0.930
Ga  0.275  0.450  0.845
Ga  0.175  0.450  0.105
Ga  0.950  0.105  0.675
Ga  0.605  0.675  0.450
Ga  0.725  0.550  0.155
Ga  0.675  0.605  0.950
Ga  0.325  0.395  0.050
S  0.250  0.625  0.875
S  0.750  0.375  0.125
S  0.125  0.875  0.750
S  0.125  0.250  0.875
S  0.250  0.125  0.375
S  0.875  0.750  0.125
S  0.375  0.750  0.625
S  0.625  0.375  0.750
S  0.750  0.875  0.625
S  0.625  0.250  0.375
S  0.375  0.625  0.250
S  0.875  0.125  0.250

***

The following N(E_F) values (in states/eV/f.u.) correspond, in order, to the records above: 2.89; 8.70.
The following V values (in Å³/f.u.) correspond, in order, to the records above: 134.19; 536.01.
The following VASP energy values (in eV/atom) correspond, in order, to the records above: -6.756; -2.435.